# PBE-GGA Ac2MnGe4Ir3, relaxed
# DOS(E_F) (states/eV/atom): 0.73
# Energy (eV per formula unit): -68.86
# Crystal system: tetragonal
# ΔH_f (0 K) (kJ/mol of atoms): -62
data_Ac2MnGe4Ir3
_cell_length_a 4.382
_cell_length_b 4.382
_cell_length_c 10.403
_cell_angle_alpha 90.00
_cell_angle_beta 90.00
_cell_angle_gamma 90.00
_symmetry_space_group_name_H-M 'P -4 m 2'
_symmetry_Int_Tables_number 115
_symmetry_space_group_name_Hall 'P -4 -2'
loop_
_atom_site_label
_atom_site_type_symbol
_atom_site_fract_x
_atom_site_fract_y
_atom_site_fract_z
Ac1 Ac 0.000 0.500 0.246
Mn1 Mn 0.000 0.000 0.500
Ge1 Ge 0.000 0.000 0.000
Ge2 Ge 0.000 0.500 0.629
Ge3 Ge 0.500 0.500 0.000
Ir1 Ir 0.000 0.500 0.877
Ir2 Ir 0.500 0.500 0.500

=====

# PBE-GGA Ac3Ge2Ir2N3, relaxed
# DOS(E_F) (states/eV/atom): 0.26
# Energy (eV per formula unit): -73.09
# Crystal system: tetragonal
data_Ac3Ge2Ir2N3
_cell_length_a 4.103
_cell_length_b 4.103
_cell_length_c 22.972
_cell_angle_alpha 90.00
_cell_angle_beta 90.00
_cell_angle_gamma 90.00
_symmetry_space_group_name_H-M 'I 4/m m m'
_symmetry_Int_Tables_number 139
_symmetry_space_group_name_Hall '-I 4 2'
loop_
_atom_site_label
_atom_site_type_symbol
_atom_site_fract_x
_atom_site_fract_y
_atom_site_fract_z
Ac1 Ac 0.000 0.000 0.000
Ac2 Ac 0.000 0.000 0.382
Ge1 Ge 0.000 0.000 0.192
Ir1 Ir 0.000 0.500 0.250
N1 N 0.000 0.000 0.109
N2 N 0.000 0.000 0.500

=====

# PBE-GGA Ac5Ge2IrN, relaxed
# DOS(E_F) (states/eV/atom): 0.56
# Energy (eV per formula unit): -53.72
# Crystal system: orthorhombic
data_Ac5Ge2IrN
_cell_length_a 4.570
_cell_length_b 18.672
_cell_length_c 13.083
_cell_angle_alpha 90.00
_cell_angle_beta 90.00
_cell_angle_gamma 90.00
_symmetry_space_group_name_H-M 'C m c 21'
_symmetry_Int_Tables_number 36
_symmetry_space_group_name_Hall 'C 2c -2'
loop_
_atom_site_label
_atom_site_type_symbol
_atom_site_fract_x
_atom_site_fract_y
_atom_site_fract_z
Ac1 Ac 0.000 0.011 0.000
Ac2 Ac 0.000 0.152 0.238
Ac3 Ac 0.000 0.173 0.613
Ac4 Ac 0.000 0.216 0.915
Ac5 Ac 0.000 0.468 0.244
Ge1 Ge 0.000 0.368 0.556
Ge2 Ge 0.000 0.392 0.916
Ir1 Ir 0.000 0.305 0.265
N1 N 0.000 0.040 0.664

=====

# PBE-GGA NaAc2Ge4Ir3, relaxed
# DOS(E_F) (states/eV/atom): 0.53
# Energy (eV per formula unit): -60.24
# Crystal system: tetragonal
# ΔH_f (0 K) (kJ/mol of atoms): -55
data_NaAc2Ge4Ir3
_cell_length_a 4.502
_cell_length_b 4.502
_cell_length_c 10.276
_cell_angle_alpha 90.00
_cell_angle_beta 90.00
_cell_angle_gamma 90.00
_symmetry_space_group_name_H-M 'P -4 m 2'
_symmetry_Int_Tables_number 115
_symmetry_space_group_name_Hall 'P -4 -2'
loop_
_atom_site_label
_atom_site_type_symbol
_atom_site_fract_x
_atom_site_fract_y
_atom_site_fract_z
Na1 Na 0.000 0.000 0.000
Ac1 Ac 0.000 0.500 0.740
Ge1 Ge 0.000 0.000 0.500
Ge2 Ge 0.000 0.500 0.139
Ge3 Ge 0.500 0.500 0.500
Ir1 Ir 0.000 0.500 0.381
Ir2 Ir 0.500 0.500 0.000